1.
DFT (PBE-GGA) results for ScMoAs after structural relaxation.

Computed properties:
- Fermi-level density of states: 11.48 states/eV/cell
- ΔE_f: -0.2545 eV/atom
- V: 19.02 Å³/atom

a = 6.1118 Å, b = 6.1118 Å, c = 6.1118 Å
α = 90.00°, β = 90.00°, γ = 90.00°
Last column: nearest neighbours and their distance in Å.
Space group F-43m (No. 216)
Inequivalent atoms, fractional coordinates:
Sc (0.0000, 0.0000, 0.0000) (multiplicity 4)  4 As 2.65
Mo (0.0000, 0.0000, 0.5000) (multiplicity 4)  4 As 2.65
As (0.2500, 0.2500, 0.7500) (multiplicity 4)  4 Mo 2.65, 4 Sc 2.65



2.
DFT (PBE-GGA) results for LaNdPd after structural relaxation.

Computed properties:
- Energy relative to the lowest polymorph listed for this composition: 0.00 eV/f.u.
- Fermi-level density of states: 13.58 states/eV/cell
- ΔE_f: -0.5363 eV/atom
- V: 29.46 Å³/atom

a = 12.8460 Å, b = 3.9878 Å, c = 8.5166 Å
α = 90.00°, β = 125.88°, γ = 90.00°
Last column: nearest neighbours and their distance in Å.
Space group C2/m (No. 12)
Inequivalent atoms, fractional coordinates:
La (0.0916, 0.0000, 0.3822) (multiplicity 4)  4 Pd 3.05-3.26
Nd (0.1649, 0.5000, 0.0700) (multiplicity 4)  3 Pd 2.96-3.06
Pd (0.1315, 0.5000, 0.6835) (multiplicity 4)  3 Nd 2.96-3.06, 1 Pd 2.97, 4 La 3.05-3.26